18
Lattice="8.196 -6.892 0.000 8.196 6.892 0.000 -2.506 0.000 7.407" Properties=species:S:1:pos:R:3 comment="CeCu2I6 (GGA-PBE, optimized geometry)" formation_energy_uncorrected_ev_per_atom=-0.701 dft_energy_ev_per_atom=-3.304 pbc="T T T"
Ce 6.316 5.590 5.555
Ce 7.569 -5.590 1.852
Cu 5.351 0.940 6.427
Cu 7.280 0.940 4.683
Cu 6.605 -0.940 2.724
Cu 8.533 -0.940 0.980
I 0.344 0.824 4.782
I 4.448 3.476 6.635
I 1.597 -0.824 1.079
I 4.816 0.536 3.888
I 8.184 3.476 4.475
I 6.069 -0.536 0.185
I 7.816 0.536 7.222
I 5.701 -3.476 2.931
I 9.069 -0.536 3.519
I 12.288 0.824 6.328
I 9.437 -3.476 0.772
I 13.541 -0.824 2.625